Entry from the Alexandria database: a relaxed MnBiSe2 crystal (PBE).

Geometry as POSCAR:
```
MnBiSe2
1.0
-8.208 -0.563 -11.869
7.450 -2.787 12.053
-3.175 0.837 2.156
Bi Se Mn
2 4 2
Direct
0.953 0.047 0.750 Bi
0.047 0.953 0.250 Bi
0.874 0.126 0.250 Se
0.216 0.784 0.250 Se
0.126 0.874 0.750 Se
0.784 0.216 0.750 Se
0.308 0.692 0.250 Mn
0.692 0.308 0.750 Mn
```

Properties
Energy relative to the elements, uncorrected = -0.7 eV per formula unit
Calculated volume = 193.7 Å³/cell
M_tot = 7.24 μB per cell